First-principles (GGA-PBE) data for crystalline Ac6Pd2RuPt at its relaxed geometry, as listed in the Alexandria database.

abc: 7.5719 7.5742 8.3051
angles: 90.08 117.11 119.89
Closest atoms and distances in Å follow each position.
Fractional positions:
Ac (0.0000, 0.0000, 0.0000)  1 Ru 3.02, 2 Pd 3.08-3.09, 1 Pt 3.08
Ac (0.0011, 0.8394, 0.4878)  1 Ru 2.95, 1 Pt 3.10, 2 Pd 3.10-3.11
Ac (0.3464, 0.4933, 0.4881)  1 Ru 2.95, 2 Pd 3.10-3.11, 1 Pt 3.11
Ac (0.3683, 0.7002, 0.9999)  1 Ru 3.02, 2 Pd 3.08-3.09, 1 Pt 3.08
Ac (0.6925, 0.1844, 0.4873)  1 Ru 2.95, 2 Pd 3.10-3.12, 1 Pt 3.10
Ac (0.7003, 0.3324, 0.0006)  1 Ru 3.02, 2 Pd 3.08-3.09, 1 Pt 3.08
Pd (0.5026, 0.4176, 0.2213)  6 Ac 3.08-3.12
Pd (0.5045, 0.9187, 0.7232)  6 Ac 3.09-3.10
Ru (0.8628, 0.0969, 0.2606)  6 Ac 2.95-3.02
Pt (0.8566, 0.5938, 0.7516)  6 Ac 3.08-3.11

Results
The formation enthalpy at 0 K is -0.595 eV/atom. Its space-group type is P1, No. 1. The value obtained for the size of the total moment is 0.00 μB per atom.

=====

First-principles (GGA-PBE) data for crystalline Li4AcCd4 at its relaxed geometry, as listed in the Alexandria database.

abc: 6.3545 6.3545 10.1193
angles: 90.00 90.00 90.00
Closest atoms and distances in Å follow each position.
Fractional positions:
Li (0.0251, 0.2500, 0.1654)  5 Cd 2.74-2.97, 3 Li 2.86-3.01
Li (0.2500, 0.0251, 0.6654)  5 Cd 2.74-2.97, 3 Li 2.86-3.01
Li (0.2500, 0.4749, 0.6654)  5 Cd 2.74-2.97, 3 Li 2.86-3.01
Li (0.4749, 0.2500, 0.1654)  5 Cd 2.74-2.97, 3 Li 2.86-3.01
Li (0.5251, 0.7500, 0.8346)  5 Cd 2.74-2.97, 3 Li 2.86-3.01
Li (0.7500, 0.5251, 0.3346)  5 Cd 2.74-2.97, 3 Li 2.86-3.01
Li (0.7500, 0.9749, 0.3346)  5 Cd 2.74-2.97, 3 Li 2.86-3.01
Li (0.9749, 0.7500, 0.8346)  5 Cd 2.74-2.97, 3 Li 2.86-3.01
Ac (0.2500, 0.7500, 0.2500)  4 Cd 3.51, 8 Li 3.59
Ac (0.7500, 0.2500, 0.7500)  4 Cd 3.51, 8 Li 3.59
Cd (0.0266, 0.2500, 0.4497)  5 Li 2.74-2.97, 1 Cd 2.84
Cd (0.2500, 0.0266, 0.9497)  5 Li 2.74-2.97, 1 Cd 2.84
Cd (0.2500, 0.4734, 0.9497)  5 Li 2.74-2.97, 1 Cd 2.84
Cd (0.4734, 0.2500, 0.4497)  5 Li 2.74-2.97, 1 Cd 2.84
Cd (0.5266, 0.7500, 0.5503)  5 Li 2.74-2.97, 1 Cd 2.84
Cd (0.7500, 0.5266, 0.0503)  5 Li 2.74-2.97, 1 Cd 2.84
Cd (0.7500, 0.9734, 0.0503)  5 Li 2.74-2.97, 1 Cd 2.84
Cd (0.9734, 0.7500, 0.5503)  5 Li 2.74-2.97, 1 Cd 2.84

Results
The formation enthalpy at 0 K is -0.158 eV/atom. Its space-group type is P4_2/nmc, No. 137. The value obtained for the size of the total moment is 0.00 μB per atom.

=====

First-principles (GGA-PBE) data for crystalline Pm3BiPd at its relaxed geometry, as listed in the Alexandria database.

abc: 9.4292 9.4292 7.5958
angles: 99.52 99.52 71.17
Closest atoms and distances in Å follow each position.
Fractional positions:
Pm (0.0333, 0.1626, 0.8953)  1 Pd 3.01, 1 Bi 3.16, 1 Pm 3.35
Pm (0.1552, 0.6605, 0.5290)  2 Pd 2.82-2.97
Pm (0.1626, 0.0333, 0.3953)  1 Pd 3.01, 1 Bi 3.16, 1 Pm 3.35
Pm (0.2849, 0.4473, 0.9506)  3 Pd 2.82-3.09
Pm (0.3395, 0.8448, 0.9710)  2 Pd 2.82-2.97
Pm (0.4473, 0.2849, 0.4506)  3 Pd 2.82-3.09
Pm (0.5527, 0.7151, 0.5494)  3 Pd 2.82-3.09
Pm (0.6605, 0.1552, 0.0290)  2 Pd 2.82-2.97
Pm (0.7151, 0.5527, 0.0494)  3 Pd 2.82-3.09
Pm (0.8374, 0.9667, 0.6047)  1 Pd 3.01, 1 Bi 3.16, 1 Pm 3.35
Pm (0.8448, 0.3395, 0.4710)  2 Pd 2.82-2.97
Pm (0.9667, 0.8374, 0.1047)  1 Pd 3.01, 1 Bi 3.16, 1 Pm 3.35
Bi (0.0907, 0.3838, 0.2417)  6 Pm 3.16-3.51
Bi (0.3838, 0.0907, 0.7417)  6 Pm 3.16-3.51
Bi (0.6162, 0.9093, 0.2583)  6 Pm 3.16-3.51
Bi (0.9093, 0.6162, 0.7583)  6 Pm 3.16-3.51
Pd (0.2928, 0.7072, 0.2500)  1 Pd 2.82, 6 Pm 2.82-3.07
Pd (0.4505, 0.5495, 0.7500)  6 Pm 2.82-3.09, 1 Pd 2.82
Pd (0.5495, 0.4505, 0.2500)  6 Pm 2.82-3.09, 1 Pd 2.82
Pd (0.7072, 0.2928, 0.7500)  1 Pd 2.82, 6 Pm 2.82-3.07

Results
The formation enthalpy at 0 K is -0.548 eV/atom. Its space-group type is C2/c, No. 15. The energy above the lowest structure with this stoichiometry is 0 meV/atom. The value obtained for the size of the total moment is 0.00 μB per atom.

=====

First-principles (GGA-PBE) data for crystalline DyMg2Pd5 at its relaxed geometry, as listed in the Alexandria database.

abc: 8.1349 8.1349 8.1349
angles: 149.96 149.96 43.00
Closest atoms and distances in Å follow each position.
Fractional positions:
Dy (0.0000, 0.0000, 0.0000)  12 Pd 2.94-2.98
Mg (0.2518, 0.2518, 0.0000)  8 Pd 2.71-2.75, 4 Mg 2.98
Mg (0.7482, 0.7482, 0.0000)  8 Pd 2.71-2.75, 4 Mg 2.98
Pd (0.1352, 0.6352, 0.5000)  4 Mg 2.71-2.75, 2 Dy 2.94, 6 Pd 2.94-2.98
Pd (0.3648, 0.8648, 0.5000)  4 Mg 2.71-2.75, 2 Dy 2.94, 6 Pd 2.94-2.98
Pd (0.5000, 0.5000, 0.0000)  8 Pd 2.94, 4 Dy 2.98
Pd (0.6352, 0.1352, 0.5000)  4 Mg 2.71-2.75, 2 Dy 2.94, 6 Pd 2.94-2.98
Pd (0.8648, 0.3648, 0.5000)  4 Mg 2.71-2.75, 2 Dy 2.94, 6 Pd 2.94-2.98

Results
The formation enthalpy at 0 K is -0.786 eV/atom. Its space-group type is I4/mmm, No. 139. The value obtained for the size of the total moment is 0.00 μB per atom.